Arrangement 1

# CeTh2Sc

Crystalline CeTh2Sc at its relaxed geometry (PBE, the Alexandria database).

Crystal system: orthorhombic
Density of states at the Fermi level: 8.8 states/eV/f.u.
Space group: Cmmm (65)

Unit cell a=3.466 b=5.943 c=5.943 alpha=107.53 beta=90.01 gamma=90.01
Element x y z (fractional)
Th  0.000  0.500  0.000
Ce  0.500  0.000  0.000
Th  0.000  0.000  0.500
Sc  0.500  0.500  0.500

***

Arrangement 2

# CeTh2Sc

Crystalline CeTh2Sc at its relaxed geometry (PBE, the Alexandria database).

Crystal system: cubic
Density of states at the Fermi level: 10.0 states/eV/f.u.
Space group: Fm-3m (225)

Unit cell a=5.480 b=5.480 c=5.480 alpha=60.00 beta=60.00 gamma=60.00
Element x y z (fractional)
Ce  0.000  0.000  0.000
Sc  0.500  0.500  0.500
Th  0.750  0.750  0.750
Th  0.250  0.250  0.250

***

So which one is most stable? That would be arrangement 1, about 7.9 kJ/mol of atoms below the next structure.

***

Arrangement 1

# CeTh2Sc

Crystalline CeTh2Sc at its relaxed geometry (PBE, the Alexandria database).

Crystal system: trigonal
Density of states at the Fermi level: 7.1 states/eV/f.u.
Space group: R-3m (166)

Unit cell a=3.377 b=3.377 c=12.174 alpha=82.03 beta=82.03 gamma=60.00
Last column: magnetic moment on the atom in μB.
Element x y z (fractional)
Ce  0.000  0.000  0.000  0.32
Sc  0.500  0.500  0.500  0.00
Th  0.912  0.912  0.264  0.00
Th  0.088  0.088  0.736  0.00

***

Arrangement 2

# CeTh2Sc

Crystalline CeTh2Sc at its relaxed geometry (PBE, the Alexandria database).

Crystal system: tetragonal
Density of states at the Fermi level: 6.5 states/eV/f.u.
Space group: P4/mmm (123)

Unit cell a=3.532 b=3.532 c=9.337 alpha=90.00 beta=90.00 gamma=90.00
Element x y z (fractional)
Ce  0.500  0.500  0.500
Sc  0.500  0.500  0.000
Th  0.000  0.000  0.755
Th  0.000  0.000  0.245

***

So which one is most stable? That would be arrangement 2, about 16.4 kJ/mol of atoms below the next structure.

***

Arrangement 1

# CeTh2Sc

Crystalline CeTh2Sc at its relaxed geometry (PBE, the Alexandria database).

Crystal system: trigonal
Density of states at the Fermi level: 7.4 states/eV/f.u.
Space group: R3m (160)

Unit cell a=3.467 b=3.467 c=11.424 alpha=81.27 beta=81.27 gamma=60.00
Element x y z (fractional)
Th  0.251  0.251  0.246
Th  0.082  0.082  0.755
Ce  0.499  0.499  0.503
Sc  0.668  0.668  0.996

***

Arrangement 2

# CeTh2Sc

Crystalline CeTh2Sc at its relaxed geometry (PBE, the Alexandria database).

Crystal system: tetragonal
Density of states at the Fermi level: 9.4 states/eV/f.u.
Space group: P4/mmm (123)

Unit cell a=4.746 b=4.977 c=4.977 alpha=90.00 beta=90.00 gamma=90.00
Element x y z (fractional)
Sc  0.500  0.000  0.000
Th  0.000  0.000  0.500
Th  0.000  0.500  0.000
Ce  0.500  0.500  0.500

***

So which one is most stable? That would be arrangement 1, about 1.1 kJ/mol of atoms below the next structure.

***

Arrangement 1

# Ce2Th6Sc

Crystalline Ce2Th6Sc at its relaxed geometry (PBE, the Alexandria database).

Crystal system: hexagonal
Density of states at the Fermi level: 18.6 states/eV/f.u.
Space group: P-6m2 (187)

Unit cell a=3.481 b=3.481 c=26.526 alpha=90.00 beta=90.00 gamma=120.00
Element x y z (fractional)
Th  0.667  0.333  0.895
Th  0.333  0.667  0.217
Th  0.333  0.667  0.563
Ce  0.667  0.333  0.673
Th  0.333  0.667  0.437
Ce  0.667  0.333  0.327
Sc  0.333  0.667  0.000
Th  0.667  0.333  0.105
Th  0.333  0.667  0.783

***

Arrangement 2

# Ce2Th6Sc

Crystalline Ce2Th6Sc at its relaxed geometry (PBE, the Alexandria database).

Crystal system: orthorhombic
Density of states at the Fermi level: 19.6 states/eV/f.u.
Space group: C222 (21)

Unit cell a=6.070 b=6.048 c=8.614 alpha=90.00 beta=90.00 gamma=120.12
Element x y z (fractional)
Th  0.172  0.343  0.000
Th  0.832  0.171  0.332
Th  0.339  0.171  0.668
Th  0.661  0.829  0.668
Th  0.828  0.657  0.000
Ce  0.500  0.500  0.336
Sc  0.500  0.000  0.000
Ce  0.000  0.500  0.664
Th  0.168  0.829  0.332

***

So which one is most stable? That would be arrangement 1, about 1.1 kJ/mol of atoms below the next structure.

***

Arrangement 1

# Ce2ThSc

Crystalline Ce2ThSc at its relaxed geometry (PBE, the Alexandria database).

Crystal system: trigonal
Density of states at the Fermi level: 10.2 states/eV/f.u.
Space group: R3m (160)

Unit cell a=3.406 b=3.406 c=11.420 alpha=81.42 beta=81.42 gamma=60.00
Last column: magnetic moment on the atom in μB.
Element x y z (fractional)
Sc  0.667  0.667  0.999  0.00
Ce  0.252  0.252  0.244  0.06
Ce  0.081  0.081  0.757  -0.01
Th  0.500  0.500  0.500  0.00

***

Arrangement 2

# Ce2ThSc

Crystalline Ce2ThSc at its relaxed geometry (PBE, the Alexandria database).

Crystal system: trigonal
Density of states at the Fermi level: 9.0 states/eV/f.u.
Space group: R-3m (166)

Unit cell a=3.428 b=3.428 c=11.211 alpha=81.21 beta=81.21 gamma=60.00
Element x y z (fractional)
Ce  0.749  0.749  0.753
Th  0.500  0.500  0.500
Ce  0.251  0.251  0.247
Sc  0.000  0.000  0.000

***

Arrangement 3

# Ce2ThSc

Crystalline Ce2ThSc at its relaxed geometry (PBE, the Alexandria database).

Crystal system: orthorhombic
Density of states at the Fermi level: 11.3 states/eV/f.u.
Space group: Imm2 (44)

Unit cell a=3.418 b=5.757 c=6.546 alpha=116.09 beta=105.13 gamma=90.00
Element x y z (fractional)
Sc  0.494  0.494  0.989
Ce  0.736  0.236  0.472
Ce  0.015  0.015  0.029
Th  0.255  0.755  0.509

***

Arrangement 4

# Ce2ThSc

Crystalline Ce2ThSc at its relaxed geometry (PBE, the Alexandria database).

Crystal system: cubic
Density of states at the Fermi level: 16.5 states/eV/f.u.
Space group: Fm-3m (225)

Unit cell a=5.478 b=5.478 c=5.478 alpha=60.00 beta=60.00 gamma=60.00
Last column: magnetic moment on the atom in μB.
Element x y z (fractional)
Sc  0.500  0.500  0.500  0.14
Ce  0.750  0.750  0.750  0.58
Th  0.000  0.000  0.000  0.18
Ce  0.250  0.250  0.250  0.58

***

So which one is most stable? That would be arrangement 2, about 3.6 kJ/mol of atoms below the next structure.

***

Arrangement 1

# Ce2ThSc

Crystalline Ce2ThSc at its relaxed geometry (PBE, the Alexandria database).

Crystal system: tetragonal
Density of states at the Fermi level: 8.9 states/eV/f.u.
Space group: P4/mmm (123)

Unit cell a=3.459 b=3.459 c=9.444 alpha=90.00 beta=90.00 gamma=90.00
Element x y z (fractional)
Th  0.500  0.500  0.500
Ce  0.000  0.000  0.246
Ce  0.000  0.000  0.754
Sc  0.500  0.500  0.000

***

Arrangement 2

# Ce2ThSc

Crystalline Ce2ThSc at its relaxed geometry (PBE, the Alexandria database).

Crystal system: tetragonal
Density of states at the Fermi level: 11.2 states/eV/f.u.
Space group: P4/mmm (123)

Unit cell a=4.999 b=4.744 c=4.744 alpha=90.00 beta=90.00 gamma=90.00
Element x y z (fractional)
Th  0.500  0.500  0.500
Ce  0.000  0.000  0.500
Ce  0.000  0.500  0.000
Sc  0.500  0.000  0.000

***

So which one is most stable? That would be arrangement 1, about 1.5 kJ/mol of atoms below the next structure.

***

Arrangement 1

# CeSc2Ti

Crystalline CeSc2Ti at its relaxed geometry (PBE, the Alexandria database).

Crystal system: tetragonal
Density of states at the Fermi level: 7.7 states/eV/f.u.
Space group: P4/mmm (123)

Unit cell a=3.127 b=3.127 c=9.559 alpha=90.00 beta=90.00 gamma=90.00
Last column: magnetic moment on the atom in μB.
Element x y z (fractional)
Sc  0.000  0.000  0.218  0.01
Ce  0.500  0.500  0.500  0.46
Sc  0.000  0.000  0.782  0.01
Ti  0.500  0.500  0.000  -0.04

***

Arrangement 2

# CeSc2Ti

Crystalline CeSc2Ti at its relaxed geometry (PBE, the Alexandria database).

Crystal system: tetragonal
Density of states at the Fermi level: 3.6 states/eV/f.u.
Space group: P4/mmm (123)

Unit cell a=4.701 b=4.439 c=4.439 alpha=90.00 beta=90.00 gamma=90.00
Element x y z (fractional)
Ce  0.500  0.500  0.500
Sc  0.000  0.000  0.500
Ti  0.500  0.000  0.000
Sc  0.000  0.500  0.000

***

So which one is most stable? That would be arrangement 1, about 1.2 kJ/mol of atoms below the next structure.

***

Arrangement 1

# CeSc2Ti

Crystalline CeSc2Ti at its relaxed geometry (PBE, the Alexandria database).

Crystal system: cubic
Density of states at the Fermi level: 8.0 states/eV/f.u.
Space group: Fm-3m (225)

Unit cell a=5.094 b=5.094 c=5.094 alpha=60.00 beta=60.00 gamma=60.00
Element x y z (fractional)
Sc  0.750  0.750  0.750
Ti  0.500  0.500  0.500
Ce  0.000  0.000  0.000
Sc  0.250  0.250  0.250

***

Arrangement 2

# CeSc2Ti

Crystalline CeSc2Ti at its relaxed geometry (PBE, the Alexandria database).

Crystal system: trigonal
Density of states at the Fermi level: 7.0 states/eV/f.u.
Space group: R-3m (166)

Unit cell a=3.136 b=3.136 c=11.213 alpha=81.96 beta=81.96 gamma=60.00
Last column: magnetic moment on the atom in μB.
Element x y z (fractional)
Ce  0.500  0.500  0.500  0.00
Ti  0.000  0.000  0.000  1.06
Sc  0.083  0.083  0.751  0.10
Sc  0.917  0.917  0.249  0.10

***

So which one is most stable? That would be arrangement 1, about 11.9 kJ/mol of atoms below the next structure.